# 1
Density functional theory data (GGA-PBE) for AsSe after structural relaxation.

## Properties
ΔE_f (raw)   0.126 eV/atom
Uncorrected energy   -31.529 eV for the cell shown
Space group   I4/m
M_tot   0.00 μB per formula unit

Lattice parameters (Å, degrees): 7.7648 7.7648 7.7648 94.06 94.06 149.13
Closest atoms and distances in Å follow each position.
Atoms (fractional coordinates):
As 0.1673 0.7178 0.8851  1 Se 2.39
As 0.2822 0.1673 0.4495  1 Se 2.39
As 0.7178 0.8327 0.5505  1 Se 2.39
As 0.8327 0.2822 0.1149  1 Se 2.39
Se 0.2458 0.5063 0.7521  1 As 2.39
Se 0.4937 0.2458 0.7395  1 As 2.39
Se 0.5063 0.7542 0.2605  1 As 2.39
Se 0.7542 0.4937 0.2479  1 As 2.39

=====

# 2
Density functional theory data (GGA-PBE) for As2Se3 after structural relaxation.

## Properties
ΔE_f (raw)   -0.009 eV/atom
Uncorrected energy   -39.594 eV for the cell shown
Space group   R-3c
M_tot   0.00 μB per formula unit

Lattice parameters (Å, degrees): 7.4399 7.4399 7.4399 55.84 55.84 55.84
Closest atoms and distances in Å follow each position.
Atoms (fractional coordinates):
As 0.1649 0.1649 0.1649  3 Se 2.60
As 0.3351 0.3351 0.3351  3 Se 2.60
As 0.6649 0.6649 0.6649  3 Se 2.60
As 0.8351 0.8351 0.8351  3 Se 2.60
Se 0.0437 0.7500 0.4563  2 As 2.60
Se 0.2500 0.5437 0.9563  2 As 2.60
Se 0.4563 0.0437 0.7500  2 As 2.60
Se 0.5437 0.9563 0.2500  2 As 2.60
Se 0.7500 0.4563 0.0437  2 As 2.60
Se 0.9563 0.2500 0.5437  2 As 2.60

=====

# 3
Density functional theory data (GGA-PBE) for AsSe after structural relaxation.

## Properties
ΔE_f (raw)   0.095 eV/atom
Uncorrected energy   -15.890 eV for the cell shown
Space group   P2_1/m
M_tot   0.00 μB per formula unit

Lattice parameters (Å, degrees): 4.1127 3.9927 5.9325 90.00 108.19 90.00
Closest atoms and distances in Å follow each position.
Atoms (fractional coordinates):
As 0.1445 0.2500 0.2773  3 Se 2.48-2.74
As 0.8555 0.7500 0.7227  3 Se 2.48-2.74
Se 0.3086 0.2500 0.7164  3 As 2.48-2.74
Se 0.6914 0.7500 0.2836  3 As 2.48-2.74